Entry 1:
A relaxed structure of Ti2Be2GaNi5, computed with PBE.

Output
The calculation puts the total moment at 0.00 μB/cell. As for the space group: P4/mbm. Its formation enthalpy at 0 K is -0.41 eV/atom. For the energy, the calculation gives -5.930 eV/atom.

```
Ti2Be2GaNi5
1.0
-1.207 2.672 1.345
0.880 -3.467 7.679
7.807 3.239 0.568
Ti Be Ni Ga
4 4 10 2
Direct
0.000 0.322 0.822 Ti
0.000 0.678 0.178 Ti
0.000 0.822 0.678 Ti
0.000 0.178 0.322 Ti
0.000 0.117 0.617 Be
0.000 0.383 0.117 Be
0.000 0.617 0.883 Be
0.000 0.883 0.383 Be
0.500 0.931 0.214 Ni
0.500 0.069 0.786 Ni
0.500 0.286 0.569 Ni
0.500 0.500 0.000 Ni
0.500 0.214 0.069 Ni
0.500 0.714 0.431 Ni
0.500 0.786 0.931 Ni
0.500 0.431 0.286 Ni
0.500 0.569 0.714 Ni
0.500 0.000 0.500 Ni
0.000 0.000 0.000 Ga
0.000 0.500 0.500 Ga
```

=====

Entry 2:
A relaxed structure of TlPt2Au, computed with PBE.

Output
The calculation puts the total moment at 0.00 μB/cell. As for the space group: P4/mmm. Its formation enthalpy at 0 K is 0.09 eV/atom. For the energy, the calculation gives -4.340 eV/atom.

```
TlPt2Au
1.0
3.074 0.000 0.000
0.000 3.074 0.000
0.000 0.000 7.629
Tl Au Pt
1 1 2
Direct
0.500 0.500 0.250 Tl
0.500 0.500 0.750 Au
0.000 0.000 0.505 Pt
0.000 0.000 0.995 Pt
```

=====

Entry 3:
A relaxed structure of BaMgW2, computed with PBE.

Output
The calculation puts the total moment at 1.14 μB/cell. As for the space group: I-4m2. Its formation enthalpy at 0 K is 1.28 eV/atom. For the energy, the calculation gives -6.078 eV/atom.

```
BaMgW2
1.0
4.950 0.012 0.000
-0.019 4.949 0.000
-2.465 -2.481 3.503
W Mg Ba
2 1 1
Direct
0.250 0.750 0.500 W
0.000 0.000 0.000 W
0.750 0.250 0.500 Mg
0.500 0.500 0.000 Ba
```

=====

Entry 4:
A relaxed structure of DyErRh, computed with PBE.

Output
The calculation puts the total moment at 0.00 μB/cell. The energy above the lowest structure with this stoichiometry comes out at 24.5 meV/atom. As for the space group: P2_1/c. Its formation enthalpy at 0 K is -0.58 eV/atom. For the energy, the calculation gives -6.089 eV/atom.

```
DyErRh
1.0
-6.141 1.411 -1.250
-2.021 -4.691 4.629
0.111 5.278 5.416
Er Dy Rh
4 4 4
Direct
0.760 0.424 0.888 Er
0.240 0.576 0.112 Er
0.740 0.424 0.388 Er
0.260 0.576 0.612 Er
0.759 0.922 0.111 Dy
0.241 0.078 0.889 Dy
0.259 0.078 0.389 Dy
0.741 0.922 0.611 Dy
0.998 0.252 0.148 Rh
0.502 0.252 0.648 Rh
0.498 0.748 0.352 Rh
0.002 0.748 0.852 Rh
```

=====

Entry 5:
A relaxed structure of CaPmNiHg, computed with PBE.

Output
The calculation puts the total moment at 0.00 μB/cell. As for the space group: F-43m. Its formation enthalpy at 0 K is -0.27 eV/atom. For the energy, the calculation gives -3.483 eV/atom.

```
CaPmNiHg
1.0
-3.247 -1.148 3.816
-2.086 -4.690 0.276
1.447 -3.242 3.717
Hg Ni Ca Pm
1 1 1 1
Direct
0.000 0.000 0.000 Hg
0.500 0.500 0.500 Ni
0.250 0.250 0.250 Ca
0.750 0.750 0.750 Pm
```

=====

Entry 6:
A relaxed structure of Ti2Cu2Au, computed with PBE.

Output
The calculation puts the total moment at 0.00 μB/cell. The energy above the lowest structure with this stoichiometry comes out at 203.7 meV/atom. As for the space group: Cmmm. Its formation enthalpy at 0 K is 0.05 eV/atom. For the energy, the calculation gives -5.407 eV/atom.

```
Ti2Cu2Au
1.0
4.074 -0.422 0.307
-1.277 3.892 0.307
-0.459 -0.569 5.312
Ti Au Cu
2 1 2
Direct
0.500 0.500 0.731 Ti
0.500 0.500 0.269 Ti
0.000 0.000 0.000 Au
0.830 0.170 0.500 Cu
0.170 0.830 0.500 Cu
```

=====

Entry 7:
A relaxed structure of CoHSeBr, computed with PBE.

Output
The calculation puts the total moment at 1.01 μB/cell. The energy above the lowest structure with this stoichiometry comes out at 29.3 meV/atom. As for the space group: P1. For the energy, the calculation gives -3.977 eV/atom.

```
CoHSeBr
1.0
-0.079 -1.256 -3.184
2.644 -3.135 -0.669
-4.468 -4.844 0.238
H Br Co Se
1 1 1 1
Direct
0.114 0.106 0.765 H
0.503 0.970 0.134 Br
0.232 0.731 0.908 Co
0.931 0.534 0.700 Se
```

=====

Entry 8:
A relaxed structure of CaPrRe4, computed with PBE.

Output
The calculation puts the total moment at 0.00 μB/cell. As for the space group: F-43m. Its formation enthalpy at 0 K is 0.15 eV/atom. For the energy, the calculation gives -9.283 eV/atom.

```
CaPrRe4
1.0
5.475 0.000 0.000
2.737 4.741 0.000
2.737 1.580 4.470
Pr Re Ca
1 4 1
Direct
0.250 0.250 0.250 Pr
0.625 0.625 0.625 Re
0.625 0.125 0.625 Re
0.125 0.625 0.625 Re
0.625 0.625 0.125 Re
0.000 0.000 0.000 Ca
```

=====

Entry 9:
A relaxed structure of Y4MgOs, computed with PBE.

Output
The calculation puts the total moment at 1.44 μB/cell. The energy above the lowest structure with this stoichiometry comes out at 979.1 meV/atom. As for the space group: F-43m. Its formation enthalpy at 0 K is 0.80 eV/atom. For the energy, the calculation gives -5.648 eV/atom.

```
Y4MgOs
1.0
2.041 -3.950 4.132
-3.811 -3.996 2.519
0.429 -5.893 -1.388
Mg Y Os
1 4 1
Direct
0.750 0.750 0.750 Mg
0.373 0.373 0.880 Y
0.373 0.880 0.373 Y
0.373 0.373 0.373 Y
0.880 0.373 0.373 Y
0.000 0.000 0.000 Os
```

=====

Entry 10:
A relaxed structure of Co2ReNi, computed with PBE.

Output
The calculation puts the total moment at 2.09 μB/cell. The energy above the lowest structure with this stoichiometry comes out at 63.1 meV/atom. As for the space group: C2/m. Its formation enthalpy at 0 K is 0.07 eV/atom. For the energy, the calculation gives -8.036 eV/atom.

```
Co2ReNi
1.0
4.393 -0.002 -0.008
3.637 2.463 -0.008
0.728 0.223 4.368
Co Ni Re
2 1 1
Direct
0.499 0.499 0.502 Co
0.001 0.001 0.998 Co
0.750 0.750 0.750 Ni
0.250 0.250 0.250 Re
```

=====

Entry 11:
A relaxed structure of Li4SeS, computed with PBE.

Output
The uncorrected formation energy is -7.8 eV/f.u. The calculation puts the total moment at 0.00 μB/cell. As for the space group: P4/mmm. For the energy, the calculation gives -3.836 eV/atom.

```
Li4SeS
1.0
-3.008 -2.559 -1.267
1.315 -2.875 2.684
-3.595 2.191 4.109
Li Se S
4 1 1
Direct
0.000 0.500 0.741 Li
0.000 0.500 0.259 Li
0.500 0.000 0.259 Li
0.500 0.000 0.741 Li
0.000 0.000 0.000 Se
0.500 0.500 0.500 S
```

=====

Entry 12:
A relaxed structure of BaZr2Cl, computed with PBE.

Output
The uncorrected formation energy is 1.2 eV/f.u. The calculation puts the total moment at 0.00 μB/cell. The energy above the lowest structure with this stoichiometry comes out at 620.1 meV/atom. As for the space group: Cmmm. For the energy, the calculation gives -4.907 eV/atom.

```
BaZr2Cl
1.0
-6.774 -1.583 2.792
6.974 0.242 2.736
-0.420 3.187 0.788
Ba Zr Cl
1 2 1
Direct
0.500 0.000 0.500 Ba
0.500 0.500 0.000 Zr
0.000 0.000 0.000 Zr
0.000 0.500 0.500 Cl
```

=====

Entry 13:
A relaxed structure of In3CuS4, computed with PBE.

Output
The uncorrected formation energy is -2.8 eV/f.u. The calculation puts the total moment at 0.00 μB/cell. As for the space group: I-42m. For the energy, the calculation gives -3.956 eV/atom.

```
In3CuS4
1.0
-3.064 -1.732 -4.739
4.982 -0.158 -3.163
-0.141 -4.812 5.526
Cu S In
1 4 3
Direct
0.000 0.000 0.000 Cu
0.659 0.080 0.739 S
0.080 0.659 0.739 S
0.920 0.920 0.261 S
0.341 0.341 0.261 S
0.250 0.750 0.500 In
0.500 0.500 0.000 In
0.750 0.250 0.500 In
```

=====

Entry 14:
A relaxed structure of Dy2Y8Sc3, computed with PBE.

Output
The calculation puts the total moment at 0.00 μB/cell. The energy above the lowest structure with this stoichiometry comes out at 0.0 meV/atom. As for the space group: C2/m. Its formation enthalpy at 0 K is 0.24 eV/atom. For the energy, the calculation gives -5.912 eV/atom.

```
Dy2Y8Sc3
1.0
-1.766 -4.905 -1.839
5.316 0.092 -5.349
3.565 -4.570 8.782
Y Sc Dy
8 3 2
Direct
0.000 0.874 0.747 Y
0.999 0.333 0.666 Y
0.000 0.126 0.253 Y
0.500 0.811 0.202 Y
0.001 0.667 0.334 Y
0.500 0.609 0.798 Y
0.500 0.189 0.798 Y
0.500 0.391 0.202 Y
0.000 0.292 0.000 Sc
0.500 0.000 0.000 Sc
0.000 0.708 0.000 Sc
0.499 0.239 0.479 Dy
0.501 0.761 0.521 Dy
```